[1]
First-principles (PBEsol) data for a geometry-optimized NbGa2AgPb structure, as listed in Alexandria via LeMat-Bulk.

POSCAR file:
```
NbGa2AgPb
1.0
4.964 0.000 0.000
0.000 4.964 0.000
0.000 0.000 5.129
Nb Ga Ag Pb
1 2 1 1
Direct
0.000 0.000 0.000
0.000 0.500 0.000
0.500 0.000 0.000
0.000 0.000 0.500
0.500 0.500 0.500
```

Crystal system: tetragonal
Formation energy from the elements in eV/atom: 0.703

***

[2]
First-principles (PBEsol) data for a geometry-optimized RbNbGa2Ag structure, as listed in Alexandria via LeMat-Bulk.

POSCAR file:
```
RbNbGa2Ag
1.0
4.960 0.000 0.000
0.000 4.960 0.000
0.000 0.000 5.433
Rb Nb Ga Ag
1 1 2 1
Direct
0.000 0.000 0.000
0.500 0.500 0.000
0.000 0.500 0.500
0.500 0.000 0.500
0.500 0.500 0.500
```

Crystal system: tetragonal
Formation energy from the elements in eV/atom: 0.967

***

| no. | E (eV/atom) | total magnetic moment (μB/cell) |
| --- | --- | --- |
| 1 | -4.2592 | 0.0 |
| 2 | -3.4006 | 3.5 |